{
  "formula": "ZrFeGe2",
  "functional": "PBE-GGA",
  "state": "relaxed",
  "lattice_angstrom": [[-2.3000, -2.7224, 2.7341], [-2.7780, 1.7308, 3.0764], [-4.4438, -0.4396, -0.4861]],
  "species": ["Ge", "Ge", "Fe", "Zr"],
  "fractional_positions": [[0.2500, 0.2500, 0.2500], [0.7500, 0.7500, 0.7500], [0.0000, 0.0000, 0.0000], [0.5000, 0.5000, 0.5000]],
  "delta_e_f_kj_per_mol_atoms": -5.11
}